# Ba3Sr7Ca

An optimized crystal structure of Ba3Sr7Ca (PBE, Alexandria via LeMat-Bulk).

Cell lengths 14.386, 14.386, 21.819 Å; angles 90.00, 90.00, 163.34 degrees
Positions (direct):
Ba  0.120  0.880  0.513
Ba  0.120  0.880  0.987
Ba  0.239  0.761  0.250
Ba  0.761  0.239  0.750
Ba  0.880  0.120  0.013
Ba  0.880  0.120  0.487
Sr  0.253  0.747  0.582
Sr  0.253  0.747  0.918
Sr  0.377  0.623  0.660
Sr  0.377  0.623  0.840
Sr  0.389  0.611  0.250
Sr  0.496  0.504  0.093
Sr  0.496  0.504  0.407
Sr  0.504  0.496  0.593
Sr  0.504  0.496  0.907
Sr  0.611  0.389  0.750
Sr  0.623  0.377  0.160
Sr  0.623  0.377  0.340
Sr  0.747  0.253  0.082
Sr  0.747  0.253  0.418
Ca  0.017  0.983  0.250
Ca  0.983  0.017  0.750

## Properties
Uncorrected energy: -1.65 eV per atom
Formation energy: 12.20 kJ/mol of atoms


# Ba4Sr10Ca

An optimized crystal structure of Ba4Sr10Ca (PBE, Alexandria via LeMat-Bulk).

Cell lengths 10.736, 10.736, 10.736 Å; angles 112.09, 112.09, 104.35 degrees
Positions (direct):
Ba  0.048  0.284  0.332
Ba  0.284  0.952  0.237
Ba  0.716  0.048  0.763
Ba  0.952  0.716  0.668
Sr  0.122  0.455  0.909
Sr  0.212  0.122  0.667
Sr  0.250  0.750  0.500
Sr  0.454  0.788  0.909
Sr  0.455  0.546  0.333
Sr  0.545  0.454  0.667
Sr  0.546  0.212  0.091
Sr  0.750  0.250  0.500
Sr  0.788  0.878  0.333
Sr  0.878  0.545  0.091
Ca  0.500  0.500  0.000

## Properties
Uncorrected energy: -1.53 eV per atom
Formation energy: 23.37 kJ/mol of atoms


# Ba4SrCa3

An optimized crystal structure of Ba4SrCa3 (PBE, Alexandria via LeMat-Bulk).

Cell lengths 13.880, 8.723, 7.195 Å; angles 90.00, 90.00, 90.00 degrees
Positions (direct):
Ba  0.000  0.246  0.000
Ba  0.000  0.754  0.000
Ba  0.250  0.246  0.368
Ba  0.250  0.754  0.368
Ba  0.500  0.246  0.000
Ba  0.500  0.754  0.000
Ba  0.750  0.246  0.632
Ba  0.750  0.754  0.632
Sr  0.000  0.500  0.500
Sr  0.500  0.500  0.500
Ca  0.000  0.000  0.500
Ca  0.250  0.000  0.859
Ca  0.250  0.500  0.867
Ca  0.500  0.000  0.500
Ca  0.750  0.000  0.141
Ca  0.750  0.500  0.133

## Properties
Uncorrected energy: -1.89 eV per atom
Formation energy: 3.28 kJ/mol of atoms


# BaSrCa5

An optimized crystal structure of BaSrCa5 (PBE, Alexandria via LeMat-Bulk).

Cell lengths 5.331, 5.331, 12.611 Å; angles 90.00, 90.00, 90.00 degrees
Positions (direct):
Ba  0.000  0.000  0.000
Sr  0.500  0.500  0.500
Ca  0.000  0.000  0.500
Ca  0.000  0.500  0.264
Ca  0.000  0.500  0.736
Ca  0.500  0.000  0.264
Ca  0.500  0.000  0.736

## Properties
Uncorrected energy: -1.79 eV per atom
Formation energy: 14.69 kJ/mol of atoms


# Ba3Sr7Ca2

An optimized crystal structure of Ba3Sr7Ca2 (PBE, Alexandria via LeMat-Bulk).

Cell lengths 6.898, 4.312, 22.789 Å; angles 90.00, 98.22, 90.00 degrees
Positions (direct):
Ba  0.000  0.000  0.000
Ba  0.317  0.500  0.640
Ba  0.683  0.500  0.360
Sr  0.082  0.500  0.146
Sr  0.230  0.000  0.458
Sr  0.404  0.000  0.823
Sr  0.500  0.500  0.000
Sr  0.596  0.000  0.177
Sr  0.770  0.000  0.542
Sr  0.918  0.500  0.854
Ca  0.149  0.000  0.289
Ca  0.851  0.000  0.711

## Properties
Uncorrected energy: -1.72 eV per atom
Formation energy: 7.30 kJ/mol of atoms


# Ba3Sr3Ca

An optimized crystal structure of Ba3Sr3Ca (PBE, Alexandria via LeMat-Bulk).

Cell lengths 11.379, 11.379, 7.032 Å; angles 90.00, 90.00, 120.00 degrees
Positions (direct):
Ba  0.058  0.248  0.250
Ba  0.190  0.942  0.250
Ba  0.248  0.190  0.750
Ba  0.752  0.810  0.250
Ba  0.810  0.058  0.750
Ba  0.942  0.752  0.750
Sr  0.099  0.486  0.750
Sr  0.387  0.901  0.750
Sr  0.486  0.387  0.250
Sr  0.514  0.613  0.750
Sr  0.613  0.099  0.250
Sr  0.901  0.514  0.250
Ca  0.333  0.667  0.250
Ca  0.667  0.333  0.750

## Properties
Uncorrected energy: -1.82 eV per atom
Formation energy: 1.47 kJ/mol of atoms


# Ba6Sr8Ca

An optimized crystal structure of Ba6Sr8Ca (PBE, Alexandria via LeMat-Bulk).

Cell lengths 10.800, 10.800, 10.800 Å; angles 60.96, 60.96, 60.96 degrees
Positions (direct):
Ba  0.127  0.378  0.629
Ba  0.371  0.873  0.622
Ba  0.378  0.629  0.127
Ba  0.622  0.371  0.873
Ba  0.629  0.127  0.378
Ba  0.873  0.622  0.371
Sr  0.116  0.883  0.370
Sr  0.117  0.630  0.884
Sr  0.248  0.248  0.248
Sr  0.370  0.116  0.883
Sr  0.630  0.884  0.117
Sr  0.752  0.752  0.752
Sr  0.883  0.370  0.116
Sr  0.884  0.117  0.630
Ca  0.000  0.000  0.000

## Properties
Uncorrected energy: -1.70 eV per atom
Formation energy: 9.95 kJ/mol of atoms


# Ba7SrCa4

An optimized crystal structure of Ba7SrCa4 (PBE, Alexandria via LeMat-Bulk).

Cell lengths 10.039, 10.039, 11.652 Å; angles 118.14, 118.14, 41.64 degrees
Positions (direct):
Ba  0.000  0.000  0.000
Ba  0.258  0.258  0.722
Ba  0.304  0.304  0.123
Ba  0.418  0.418  0.572
Ba  0.582  0.582  0.428
Ba  0.696  0.696  0.877
Ba  0.742  0.742  0.278
Sr  0.500  0.500  0.000
Ca  0.044  0.044  0.696
Ca  0.173  0.173  0.349
Ca  0.827  0.827  0.651
Ca  0.956  0.956  0.304

## Properties
Uncorrected energy: -1.78 eV per atom
Formation energy: 13.96 kJ/mol of atoms


# Ba3Sr3Ca8

An optimized crystal structure of Ba3Sr3Ca8 (PBE, Alexandria via LeMat-Bulk).

Cell lengths 10.938, 10.938, 13.045 Å; angles 118.96, 118.96, 30.51 degrees
Positions (direct):
Ba  0.000  0.000  0.000
Ba  0.078  0.078  0.366
Ba  0.922  0.922  0.634
Sr  0.421  0.421  0.135
Sr  0.500  0.500  0.500
Sr  0.579  0.579  0.865
Ca  0.150  0.150  0.727
Ca  0.217  0.217  0.076
Ca  0.283  0.283  0.419
Ca  0.347  0.347  0.774
Ca  0.653  0.653  0.226
Ca  0.717  0.717  0.581
Ca  0.783  0.783  0.924
Ca  0.850  0.850  0.273

## Properties
Uncorrected energy: -1.89 eV per atom
Formation energy: 2.63 kJ/mol of atoms


# BaSr4Ca15

An optimized crystal structure of BaSr4Ca15 (PBE, Alexandria via LeMat-Bulk).

Cell lengths 5.664, 5.664, 28.324 Å; angles 90.00, 90.00, 90.00 degrees
Positions (direct):
Ba  0.000  0.000  0.000
Sr  0.000  0.000  0.202
Sr  0.000  0.000  0.401
Sr  0.000  0.000  0.599
Sr  0.000  0.000  0.798
Ca  0.000  0.500  0.103
Ca  0.000  0.500  0.301
Ca  0.000  0.500  0.500
Ca  0.000  0.500  0.699
Ca  0.000  0.500  0.897
Ca  0.500  0.000  0.103
Ca  0.500  0.000  0.301
Ca  0.500  0.000  0.500
Ca  0.500  0.000  0.699
Ca  0.500  0.000  0.897
Ca  0.500  0.500  0.000
Ca  0.500  0.500  0.202
Ca  0.500  0.500  0.401
Ca  0.500  0.500  0.599
Ca  0.500  0.500  0.798

## Properties
Uncorrected energy: -1.92 eV per atom
Formation energy: 1.61 kJ/mol of atoms


# BaSrCa2

An optimized crystal structure of BaSrCa2 (PBE, Alexandria via LeMat-Bulk).

Cell lengths 4.707, 4.707, 9.035 Å; angles 90.00, 90.00, 90.00 degrees
Positions (direct):
Ba  0.000  0.000  0.000
Sr  0.500  0.500  0.712
Ca  0.000  0.000  0.471
Ca  0.500  0.500  0.259

## Properties
Uncorrected energy: -1.88 eV per atom
Formation energy: 2.00 kJ/mol of atoms


# Ba5Sr4Ca2

An optimized crystal structure of Ba5Sr4Ca2 (PBE, Alexandria via LeMat-Bulk).

Cell lengths 11.060, 26.072, 4.365 Å; angles 90.00, 90.00, 90.00 degrees
Positions (direct):
Ba  0.000  0.000  0.000
Ba  0.136  0.437  0.000
Ba  0.241  0.213  0.000
Ba  0.259  0.713  0.000
Ba  0.364  0.937  0.000
Ba  0.500  0.500  0.000
Ba  0.636  0.063  0.000
Ba  0.741  0.287  0.000
Ba  0.759  0.787  0.000
Ba  0.864  0.563  0.000
Sr  0.081  0.846  0.500
Sr  0.209  0.576  0.500
Sr  0.291  0.076  0.500
Sr  0.419  0.346  0.500
Sr  0.581  0.654  0.500
Sr  0.709  0.924  0.500
Sr  0.791  0.424  0.500
Sr  0.919  0.154  0.500
Ca  0.043  0.310  0.500
Ca  0.457  0.810  0.500
Ca  0.543  0.190  0.500
Ca  0.957  0.690  0.500

## Properties
Uncorrected energy: -1.80 eV per atom
Formation energy: 4.34 kJ/mol of atoms


# Ba3SrCa2

An optimized crystal structure of Ba3SrCa2 (PBE, Alexandria via LeMat-Bulk).

Cell lengths 7.848, 7.848, 10.665 Å; angles 96.12, 96.12, 97.36 degrees
Positions (direct):
Ba  0.077  0.923  0.750
Ba  0.168  0.335  0.005
Ba  0.335  0.168  0.505
Ba  0.665  0.832  0.495
Ba  0.832  0.665  0.995
Ba  0.923  0.077  0.250
Sr  0.410  0.590  0.750
Sr  0.590  0.410  0.250
Ca  0.126  0.621  0.376
Ca  0.379  0.874  0.124
Ca  0.621  0.126  0.876
Ca  0.874  0.379  0.624

## Properties
Uncorrected energy: -1.82 eV per atom
Formation energy: 8.16 kJ/mol of atoms


# BaSrCa

An optimized crystal structure of BaSrCa (PBE, Alexandria via LeMat-Bulk).

Cell lengths 4.172, 4.172, 20.975 Å; angles 90.00, 90.00, 120.00 degrees
Positions (direct):
Ba  0.000  0.000  0.096
Ba  0.000  0.000  0.904
Sr  0.333  0.667  0.584
Sr  0.667  0.333  0.416
Ca  0.333  0.667  0.258
Ca  0.667  0.333  0.742

## Properties
Uncorrected energy: -1.81 eV per atom
Formation energy: 5.58 kJ/mol of atoms


# BaSrCa2

An optimized crystal structure of BaSrCa2 (PBE, Alexandria via LeMat-Bulk).

Cell lengths 6.523, 6.523, 6.523 Å; angles 60.00, 60.00, 60.00 degrees
Positions (direct):
Ba  0.000  0.000  0.000
Sr  0.750  0.750  0.750
Ca  0.250  0.250  0.250
Ca  0.500  0.500  0.500

## Properties
Uncorrected energy: -1.88 eV per atom
Formation energy: 2.53 kJ/mol of atoms


# BaSrCaTb

An optimized crystal structure of BaSrCaTb (PBE, Alexandria via LeMat-Bulk).

Cell lengths 6.335, 6.335, 6.335 Å; angles 60.00, 60.00, 60.00 degrees
Positions (direct):
Ba  0.000  0.000  0.000
Sr  0.750  0.750  0.750
Ca  0.500  0.500  0.500
Tb  0.250  0.250  0.250

## Properties
Uncorrected energy: -2.37 eV per atom
Formation energy: 17.95 kJ/mol of atoms


# BaSrCa2Tc

An optimized crystal structure of BaSrCa2Tc (PBE, Alexandria via LeMat-Bulk).

Cell lengths 5.807, 5.807, 6.013 Å; angles 90.00, 90.00, 90.00 degrees
Positions (direct):
Ba  0.000  0.000  0.000
Sr  0.000  0.000  0.500
Ca  0.000  0.500  0.500
Ca  0.500  0.000  0.500
Tc  0.500  0.500  0.000

## Properties
Uncorrected energy: -1.64 eV per atom
Formation energy: 188.57 kJ/mol of atoms


# Ba2SrCa3Te6

An optimized crystal structure of Ba2SrCa3Te6 (PBE, Alexandria via LeMat-Bulk).

Cell lengths 10.573, 10.573, 9.465 Å; angles 103.01, 103.01, 25.82 degrees
Positions (direct):
Ba  0.166  0.166  0.331
Ba  0.834  0.834  0.669
Sr  0.500  0.500  0.000
Ca  0.167  0.167  0.834
Ca  0.500  0.500  0.500
Ca  0.833  0.833  0.166
Te  0.006  0.006  0.746
Te  0.331  0.331  0.934
Te  0.339  0.339  0.402
Te  0.661  0.661  0.598
Te  0.669  0.669  0.066
Te  0.994  0.994  0.254

## Properties
Uncorrected energy: -4.22 eV per atom
Raw formation energy: -1.690 eV/atom


# Ba2SrCaTe4

An optimized crystal structure of Ba2SrCaTe4 (PBE, Alexandria via LeMat-Bulk).

Cell lengths 8.359, 4.827, 8.366 Å; angles 90.00, 109.45, 90.00 degrees
Positions (direct):
Ba  0.000  0.000  0.000
Ba  0.500  0.500  0.000
Sr  0.000  0.500  0.500
Ca  0.500  0.000  0.500
Te  0.250  0.000  0.732
Te  0.263  0.500  0.272
Te  0.737  0.500  0.728
Te  0.750  0.000  0.268

## Properties
Uncorrected energy: -4.24 eV per atom
Raw formation energy: -1.724 eV/atom


# Ba5Sr2CaTl2

An optimized crystal structure of Ba5Sr2CaTl2 (PBE, Alexandria via LeMat-Bulk).

Cell lengths 15.222, 15.222, 4.516 Å; angles 90.00, 90.00, 90.00 degrees
Positions (direct):
Ba  0.000  0.500  0.000
Ba  0.044  0.214  0.000
Ba  0.214  0.956  0.000
Ba  0.286  0.456  0.000
Ba  0.456  0.714  0.000
Ba  0.500  0.000  0.000
Ba  0.544  0.286  0.000
Ba  0.714  0.544  0.000
Ba  0.786  0.044  0.000
Ba  0.956  0.786  0.000
Sr  0.199  0.699  0.500
Sr  0.301  0.199  0.500
Sr  0.699  0.801  0.500
Sr  0.801  0.301  0.500
Ca  0.000  0.000  0.500
Ca  0.500  0.500  0.500
Tl  0.133  0.367  0.500
Tl  0.367  0.867  0.500
Tl  0.633  0.133  0.500
Tl  0.867  0.633  0.500

## Properties
Uncorrected energy: -2.08 eV per atom
Formation energy: -10.91 kJ/mol of atoms